DyHoCu10 | PBE-GGA | relaxed

Lattice parameters (Å, degrees): 4.100 5.045 8.653 90.00 90.00 90.00
Fractional coordinates of all 12 atoms:
Dy: 0.000 0.000 0.000
Ho: 0.000 0.500 0.500
Cu: 0.000 0.000 0.334
Cu: 0.000 0.500 0.833
Cu: 0.000 0.500 0.167
Cu: 0.000 0.000 0.666
Cu: 0.500 0.000 0.500
Cu: 0.500 0.500 0.000
Cu: 0.500 0.250 0.250
Cu: 0.500 0.750 0.750
Cu: 0.500 0.750 0.250
Cu: 0.500 0.250 0.750

Computed properties:
Electronic total energy in eV per atom: -4.37
ΔE_f in eV/atom: -0.194
SG: Pmmm